[1]
BaOsPt2: optimized geometry, PBE.

Cell: 5.6612 5.6612 5.6612 Å, 140.89 119.71 74.24°
Closest atoms and distances in Å follow each position.
Sites, in units of the cell vectors:
Os 0.7500 0.2500 0.5000  4 Pt 2.53
Ba 0.2500 0.7500 0.5000  8 Pt 3.30-3.42, 4 Os 3.42
Pt 0.9350 0.9350 0.0000  2 Os 2.53
Pt 0.5650 0.5650 0.0000  2 Os 2.53

Computed properties:
* total magnetization: 0.377 μB per atom
* space-group type: Immm, No. 71
* uncorrected energy: -0.4291 Ry per atom

[2]
BaOsPt2: optimized geometry, PBE.

Cell: 5.3038 5.3038 5.3038 Å, 131.98 131.98 70.26°
Closest atoms and distances in Å follow each position.
Sites, in units of the cell vectors:
Os 0.7500 0.2500 0.5000  8 Pt 3.05-3.06, 4 Ba 3.06
Ba 0.5000 0.5000 0.0000  8 Pt 3.05-3.06, 4 Os 3.06
Pt 0.0000 0.0000 0.0000  4 Ba 3.05, 4 Os 3.06, 4 Pt 3.06
Pt 0.2500 0.7500 0.5000  4 Os 3.05, 4 Ba 3.06, 4 Pt 3.06

Computed properties:
* total magnetization: 0.482 μB per atom
* space-group type: I-4m2, No. 119
* uncorrected energy: -0.4075 Ry per atom

[3]
BaOs2Pt: optimized geometry, PBE.

Cell: 3.6749 2.9000 8.2277 Å, 69.42 90.00 90.00°
Closest atoms and distances in Å follow each position.
Sites, in units of the cell vectors:
Os 0.0000 0.9128 0.0861  4 Os 2.59, 1 Pt 2.73
Os 0.5000 0.2707 0.2287  4 Os 2.59, 4 Pt 2.85
Ba 0.5000 0.7558 0.7450  2 Ba 2.90
Pt 0.0000 0.5607 0.4401  5 Os 2.73-2.85, 2 Pt 2.90

Computed properties:
* total magnetization: 0.000 μB per atom
* space-group type: Pm, No. 6
* uncorrected energy: -0.5292 Ry per atom

[4]
BaOs2Pt: optimized geometry, PBE.

Cell: 4.7882 4.7882 4.7882 Å, 60.00 60.00 60.00°
Closest atoms and distances in Å follow each position.
Sites, in units of the cell vectors:
Os 0.0000 0.0000 0.0000  4 Os 2.93, 4 Pt 2.93
Os 0.2500 0.2500 0.2500  4 Ba 2.93, 4 Os 2.93
Ba 0.5000 0.5000 0.5000  4 Os 2.93, 4 Pt 2.93
Pt 0.7500 0.7500 0.7500  4 Ba 2.93, 4 Os 2.93

Computed properties:
* total magnetization: 0.001 μB per atom
* space-group type: F-43m, No. 216
* uncorrected energy: -0.4676 Ry per atom

[5]
BaOs2Pt: optimized geometry, PBE.

Cell: 6.1377 6.1377 6.1377 Å, 153.00 131.49 56.39°
Closest atoms and distances in Å follow each position.
Sites, in units of the cell vectors:
Os 0.9708 0.9708 0.0000  2 Pt 2.79, 6 Os 2.87-2.97
Os 0.5292 0.5292 0.0000  2 Pt 2.79, 6 Os 2.87-2.97
Ba 0.2500 0.7500 0.5000  2 Ba 2.87, 4 Pt 2.90
Pt 0.7500 0.2500 0.5000  4 Os 2.79, 2 Pt 2.87, 4 Ba 2.90

Computed properties:
* total magnetization: 0.000 μB per atom
* space-group type: Immm, No. 71
* uncorrected energy: -0.4950 Ry per atom

[6]
BaOs2Pt: optimized geometry, PBE.

Cell: 4.7562 4.7562 4.7562 Å, 60.00 60.00 60.00°
Closest atoms and distances in Å follow each position.
Sites, in units of the cell vectors:
Os 0.2500 0.2500 0.2500  4 Ba 2.91, 4 Pt 2.91
Os 0.7500 0.7500 0.7500  4 Pt 2.91, 4 Ba 2.91
Ba 0.0000 0.0000 0.0000  8 Os 2.91
Pt 0.5000 0.5000 0.5000  8 Os 2.91

Computed properties:
* total magnetization: 0.252 μB per atom
* space-group type: Fm-3m, No. 225
* uncorrected energy: -0.4497 Ry per atom